[1]
The following is a DFT calculation (PBE-GGA) of crystalline RbNa3Ag2Bi2 at its relaxed geometry.

Properties
- E: -2.595 eV per atom
- SG: Pm (6)

Cell: 6.2087 5.9565 6.6350 Å, 90.00 101.37 90.00°
Fractional positions:
Ag 0.9949 0.7540 0.9988
Na 0.1692 0.5000 0.5163
Bi 0.7228 0.5000 0.6916
Na 0.8371 0.0000 0.4983
Na 0.4701 0.0000 0.8261
Bi 0.2745 0.0000 0.3086
Ag 0.9949 0.2460 0.9988
Rb 0.5363 0.5000 0.1614

[2]
The following is a DFT calculation (PBE-GGA) of crystalline Ag3PS4 at its relaxed geometry.

Properties
- E: -3.950 eV per atom
- SG: P-43n (218)

Cell: 6.9682 6.9682 6.9682 Å, 90.00 90.00 90.00°
Fractional positions:
Ag 0.7500 0.0000 0.5000
Ag 0.0000 0.5000 0.2500
Ag 0.0000 0.5000 0.7500
S 0.3281 0.6719 0.3281
S 0.6719 0.6719 0.6719
Ag 0.5000 0.7500 0.0000
S 0.6719 0.3281 0.3281
S 0.1719 0.1719 0.1719
S 0.3281 0.3281 0.6719
Ag 0.5000 0.2500 0.0000
P 0.5000 0.5000 0.5000
Ag 0.2500 0.0000 0.5000
P 0.0000 0.0000 0.0000
S 0.1719 0.8281 0.8281
S 0.8281 0.1719 0.8281
S 0.8281 0.8281 0.1719

[3]
The following is a DFT calculation (PBE-GGA) of crystalline LuNpS3 at its relaxed geometry.

Properties
- E: -7.664 eV per atom
- SG: C222_1 (20)

Cell: 6.5038 6.5038 9.3156 Å, 90.00 90.00 146.18°
Each line ends with the local moment (μB).
Fractional positions:
S 0.9094 0.0906 0.7500  -0.06
S 0.6450 0.3570 0.9340  -0.05
S 0.0906 0.9094 0.2500  -0.06
S 0.6430 0.3550 0.5660  -0.05
S 0.3550 0.6430 0.4340  -0.05
Lu 0.0016 0.0016 0.0000  0.04
Np 0.2517 0.7483 0.7500  3.85
Lu 0.9984 0.9984 0.5000  0.04
S 0.3570 0.6450 0.0660  -0.05
Np 0.7483 0.2517 0.2500  3.85

[4]
The following is a DFT calculation (PBE-GGA) of crystalline RbNpTlS3 at its relaxed geometry.

Properties
- E: -5.776 eV per atom
- SG: Cmcm (63)

Cell: 8.5227 8.5227 11.5197 Å, 90.00 90.00 152.49°
Each line ends with the local moment (μB).
Fractional positions:
Rb 0.6775 0.3225 0.2500  0.00
Rb 0.3225 0.6775 0.7500  0.00
S 0.3961 0.6039 0.5043  -0.11
S 0.0014 0.9986 0.7500  -0.06
Np 0.0000 0.0000 0.5000  3.30
S 0.3961 0.6039 0.9957  -0.11
Tl 0.6268 0.3732 0.7500  -0.01
S 0.6039 0.3961 0.4957  -0.11
S 0.9986 0.0014 0.2500  -0.06
Np 0.0000 0.0000 0.0000  3.30
Tl 0.3732 0.6268 0.2500  -0.01
S 0.6039 0.3961 0.0043  -0.11